Below is NaSr2CrF8 after structural relaxation, with properties calculated at the PBE with a Hubbard U level.

Summary:
- total moment (μB/atom) = 0.250
- SG = P2_1/c, No. 14
- final energy (eV/atom) = -5.6408
- E above lowest polymorph (meV/atom) = 0

abc: 6.3514 7.9048 15.0922
angles: 67.37 90.00 90.00
Each line ends with the local moment (μB).
Fractional coordinates of all 48 atoms:
Na (0.8331, 0.1361, 0.0609)  0.00
Na (0.6669, 0.1361, 0.5609)  0.00
Na (0.1669, 0.8639, 0.9391)  0.00
Na (0.3331, 0.8639, 0.4391)  0.00
Sr (0.1523, 0.4151, 0.6440)  0.00
Sr (0.8477, 0.5849, 0.3560)  0.00
Sr (0.3477, 0.4151, 0.1440)  0.00
Sr (0.7855, 0.0971, 0.3024)  0.00
Sr (0.2855, 0.9029, 0.1976)  0.00
Sr (0.2145, 0.9029, 0.6976)  0.00
Sr (0.6523, 0.5849, 0.8560)  0.00
Sr (0.7145, 0.0971, 0.8024)  0.00
F (0.6969, 0.9206, 0.4840)  0.00
F (0.7601, 0.4705, 0.7159)  0.00
F (0.4290, 0.6410, 0.5791)  0.00
F (0.4374, 0.1829, 0.6742)  0.00
F (0.5626, 0.8171, 0.3258)  0.00
F (0.3031, 0.0794, 0.5160)  0.00
F (0.5710, 0.3590, 0.4209)  0.00
F (0.0710, 0.6410, 0.0791)  0.00
F (0.3185, 0.4493, 0.9730)  0.00
F (0.6149, 0.8212, 0.6772)  0.00
F (0.2601, 0.5295, 0.7841)  0.00
F (0.8031, 0.9206, 0.9840)  0.00
F (0.0626, 0.1829, 0.1742)  0.00
F (0.6815, 0.5507, 0.0270)  0.00
F (0.2399, 0.5295, 0.2841)  0.00
F (0.9874, 0.2543, 0.3875)  0.00
F (0.0126, 0.7457, 0.6125)  0.00
F (0.9374, 0.8171, 0.8258)  0.00
F (0.4874, 0.7457, 0.1125)  0.00
F (0.4396, 0.8535, 0.8436)  0.00
F (0.5604, 0.1465, 0.1564)  0.00
F (0.8851, 0.8212, 0.1772)  0.00
F (0.0604, 0.8535, 0.3436)  0.00
F (0.1815, 0.4493, 0.4730)  0.00
F (0.3851, 0.1788, 0.3228)  0.00
F (0.9290, 0.3590, 0.9209)  0.00
F (0.1149, 0.1788, 0.8228)  0.00
F (0.8185, 0.5507, 0.5270)  0.00
F (0.1969, 0.0794, 0.0160)  0.00
F (0.7399, 0.4705, 0.2159)  0.00
F (0.9396, 0.1465, 0.6564)  0.00
F (0.5127, 0.2543, 0.8875)  0.00
Cr (0.2815, 0.3073, 0.4029)  2.94
Cr (0.2185, 0.3073, 0.9029)  2.94
Cr (0.7815, 0.6927, 0.0971)  2.94
Cr (0.7185, 0.6927, 0.5971)  2.94